Entry 1:
Compound: Sr3BBr
Source: Alexandria via LeMat-Bulk
Functional: PBE-GGA
Structure: optimized geometry

```
Sr3BBr
1.0
5.717 0.000 0.000
0.000 5.717 0.000
0.000 0.000 5.717
Sr B Br
3 1 1
Direct
0.000 0.000 0.500
0.000 0.500 0.000
0.500 0.000 0.000
0.000 0.000 0.000
0.500 0.500 0.500
```

## Properties
energy above the most stable polymorph in this dataset: 0 meV/atom

---

Entry 2:
Compound: LiPdS
Source: Alexandria via LeMat-Bulk
Functional: PBE-GGA
Structure: optimized geometry

```
LiPdS
1.0
4.018 0.000 0.000
-2.009 3.480 0.000
0.000 0.000 3.531
Li Pd S
1 1 1
Direct
0.000 0.000 0.000
0.667 0.333 0.500
0.333 0.667 0.500
```

---

Entry 3:
Compound: LiTbGePd
Source: Alexandria via LeMat-Bulk
Functional: PBE-GGA
Structure: optimized geometry

```
LiTbGePd
1.0
6.542 0.000 0.000
0.000 6.542 0.000
0.000 0.000 6.542
Li Tb Ge Pd
4 4 4 4
Direct
0.000 0.000 0.000
0.000 0.500 0.500
0.500 0.000 0.500
0.500 0.500 0.000
0.250 0.250 0.750
0.250 0.750 0.250
0.750 0.250 0.250
0.750 0.750 0.750
0.250 0.250 0.250
0.250 0.750 0.750
0.750 0.250 0.750
0.750 0.750 0.250
0.000 0.000 0.500
0.000 0.500 0.000
0.500 0.000 0.000
0.500 0.500 0.500
```

## Properties
energy relative to the elements: -0.73 eV/atom

---

Entry 4:
Compound: Tm5CuSn4
Source: Alexandria via LeMat-Bulk
Functional: PBE-GGA
Structure: optimized geometry

```
Tm5CuSn4
1.0
-4.744 4.744 3.060
4.744 -4.744 3.060
4.744 4.744 -3.060
Tm Cu Sn
5 1 4
Direct
0.000 0.000 0.000
0.052 0.440 0.796
0.257 0.052 0.613
0.440 0.644 0.387
0.644 0.257 0.204
0.498 0.498 0.000
0.130 0.746 0.191
0.555 0.939 0.809
0.746 0.555 0.616
0.939 0.130 0.384
```

## Properties
energy relative to the elements: -0.35 eV/atom

---

Entry 5:
Compound: LaSnP2O
Source: Alexandria via LeMat-Bulk
Functional: PBE-GGA
Structure: optimized geometry

```
LaSnP2O
1.0
5.297 0.000 0.000
0.000 5.297 0.000
0.000 0.000 6.534
La Sn P O
1 1 2 1
Direct
0.000 0.000 0.000
0.000 0.000 0.500
0.000 0.500 0.000
0.500 0.000 0.000
0.500 0.500 0.500
```

## Properties
energy above the most stable polymorph in this dataset: 1857 meV/atom

---

Entry 6:
Compound: MnCdRu2
Source: Alexandria via LeMat-Bulk
Functional: PBE-GGA
Structure: optimized geometry

```
MnCdRu2
1.0
3.902 0.000 0.000
0.000 3.902 0.000
0.000 0.000 7.989
Mn Cd Ru
2 2 4
Direct
0.000 0.000 0.000
0.500 0.500 0.500
0.000 0.500 0.250
0.500 0.000 0.750
0.000 0.000 0.500
0.000 0.500 0.750
0.500 0.000 0.250
0.500 0.500 0.000
```

## Properties
energy relative to the elements: 0.35 eV/atom

---

Entry 7:
Compound: FeSn3
Source: Alexandria via LeMat-Bulk
Functional: PBE-GGA
Structure: optimized geometry

```
FeSn3
1.0
3.378 0.000 0.000
0.000 8.578 0.000
0.000 0.000 6.128
Fe Sn
2 6
Direct
0.000 0.000 0.000
0.500 0.500 0.500
0.000 0.315 0.745
0.000 0.500 0.174
0.000 0.685 0.745
0.500 0.000 0.674
0.500 0.185 0.245
0.500 0.815 0.245
```

## Properties
energy relative to the elements: 0.17 eV/atom

---

Entry 8:
Compound: BC2
Source: Alexandria via LeMat-Bulk
Functional: PBE-GGA
Structure: optimized geometry

```
BC2
1.0
4.437 -1.253 0.000
4.437 1.253 0.000
-3.461 0.000 6.882
B C
4 8
Direct
0.000 0.000 0.000
0.004 0.004 0.512
0.343 0.343 0.693
0.493 0.493 0.162
0.158 0.158 0.454
0.171 0.171 0.976
0.323 0.323 0.187
0.506 0.506 0.659
0.669 0.669 0.854
0.681 0.681 0.366
0.822 0.822 0.814
0.824 0.824 0.302
```

## Properties
energy above the most stable polymorph in this dataset: 91 meV/atom
energy relative to the elements: 0.33 eV/atom

---

Number 1: raw total energy -2.85 eV/atom. Number 2: raw total energy -4.33 eV/atom. Number 3: raw total energy -4.81 eV/atom. Number 4: raw total energy -4.59 eV/atom. Number 5: raw total energy -3.68 eV/atom. Number 6: raw total energy -6.81 eV/atom. Number 7: raw total energy -4.95 eV/atom. Number 8: raw total energy -8.04 eV/atom.